This record from the Open Quantum Materials Database describes a relaxed structure of Bi5Mo3Au. The functional is PBE-GGA.

Unit cell a=5.615 b=5.615 c=8.579 alpha=90.00 beta=90.00 gamma=120.00
Fractional coordinates of all 9 atoms:
Bi (0.000, 0.000, 0.000)
Bi (0.333, 0.667, 0.293)
Bi (0.333, 0.667, 0.707)
Bi (0.667, 0.333, 0.293)
Bi (0.667, 0.333, 0.707)
Mo (0.000, 0.500, 0.000)
Mo (0.500, 0.000, 0.000)
Mo (0.500, 0.500, 0.000)
Au (0.000, 0.000, 0.500)

total energy = -0.216 Ha/atom
space-group type = P6/mmm